Density functional theory data (PBE) for an optimized crystal structure of TbFeSi2Ni.

Lattice parameters (Å, degrees): 3.898 3.898 9.838 90.00 90.00 90.00
Sites, in units of the cell vectors:
Tb: 0.000 0.000 0.000
Tb: 0.500 0.500 0.500
Fe: 0.000 0.500 0.250
Fe: 0.500 0.000 0.750
Si: 0.000 0.000 0.373
Si: 0.000 0.000 0.627
Si: 0.500 0.500 0.127
Si: 0.500 0.500 0.873
Ni: 0.000 0.500 0.750
Ni: 0.500 0.000 0.250

Computed properties:
As for the crystal system: tetragonal. The total energy comes out at -33.52 eV per formula unit. For the density, the calculation gives 7.32 g/cm³. As for the formation energy from raw total energies: -73.29 kJ/mol of atoms.